1.
First-principles (PBE) data for crystalline Pm2Si5Pd3 at its relaxed geometry, as listed in the Alexandria database.

## Properties
E_tot: -121.04 eV/cell
Formation energy from raw total energies: -833 meV per atom

Lattice parameters (Å, degrees): 5.991 8.279 8.279 74.24 68.79 68.79
Sites, in units of the cell vectors:
Si  0.114  0.036  0.735
Pm  0.128  0.605  0.138
Si  0.386  0.265  0.964
Si  0.750  0.500  0.500
Pd  0.138  0.253  0.471
Pm  0.872  0.395  0.862
Si  0.250  0.500  0.500
Si  0.886  0.964  0.265
Pd  0.362  0.529  0.747
Pd  0.862  0.747  0.529
Si  0.025  0.225  0.225
Si  0.975  0.775  0.775
Pm  0.628  0.138  0.605
Si  0.525  0.225  0.225
Pd  0.250  0.000  0.000
Si  0.475  0.775  0.775
Si  0.614  0.735  0.036
Pd  0.638  0.471  0.253
Pm  0.372  0.862  0.395
Pd  0.750  0.000  0.000

---

2.
First-principles (PBE) data for crystalline NaLa2C2 at its relaxed geometry, as listed in the Alexandria database.

## Properties
E_tot: -60.70 eV/cell
Formation energy: -70 kJ/mol of formula units

Lattice parameters (Å, degrees): 4.332 6.799 9.588 73.53 103.06 90.00
Sites, in units of the cell vectors:
C  0.360  0.053  0.455
Na  0.184  0.250  0.000
La  0.486  0.750  0.342
C  0.905  0.447  0.545
La  0.856  0.250  0.342
La  0.144  0.750  0.658
Na  0.816  0.750  0.000
C  0.640  0.947  0.545
La  0.514  0.250  0.658
C  0.095  0.553  0.455

---

3.
First-principles (PBE) data for crystalline CsGaAgHg2 at its relaxed geometry, as listed in the Alexandria database.

## Properties
Offset from the most stable computed form: 0 meV/atom
E_tot: -7.72 eV/cell
Formation energy: -37 kJ/mol of formula units

Lattice parameters (Å, degrees): 5.534 5.534 5.278 90.00 90.00 90.00
Sites, in units of the cell vectors:
Hg  0.500  0.000  0.000
Hg  0.000  0.500  0.000
Ga  0.000  0.000  0.000
Cs  0.500  0.500  0.500
Ag  0.000  0.000  0.500

---

4.
First-principles (PBE) data for crystalline LiYCdSi at its relaxed geometry, as listed in the Alexandria database.

## Properties
E_tot: -15.98 eV/cell
Formation energy from raw total energies: -315 meV per atom

Lattice parameters (Å, degrees): 4.896 4.896 4.896 60.00 60.00 60.00
Sites, in units of the cell vectors:
Y  0.500  0.500  0.500
Cd  0.250  0.250  0.250
Si  0.750  0.750  0.750
Li  0.000  0.000  0.000

---

5.
First-principles (PBE) data for crystalline Nd4CoAg at its relaxed geometry, as listed in the Alexandria database.

## Properties
Offset from the most stable computed form: 115 meV/atom
E_tot: -58.44 eV/cell
Formation energy: -18 kJ/mol of formula units

Lattice parameters (Å, degrees): 7.176 7.163 7.130 90.00 96.62 90.00
Sites, in units of the cell vectors:
Co  0.000  0.500  0.500
Nd  0.793  0.175  0.340
Nd  0.293  0.325  0.340
Nd  0.123  0.346  0.813
Co  0.500  0.000  0.500
Nd  0.707  0.675  0.660
Nd  0.623  0.154  0.813
Ag  0.500  0.500  0.000
Nd  0.207  0.825  0.660
Ag  0.000  0.000  0.000
Nd  0.377  0.846  0.187
Nd  0.877  0.654  0.187

---

6.
First-principles (PBE) data for crystalline Na2LuAgCl6 at its relaxed geometry, as listed in the Alexandria database.

## Properties
E_tot: -36.92 eV/cell
Formation energy from raw total energies: -1583 meV per atom

Lattice parameters (Å, degrees): 7.436 7.436 7.436 60.00 60.00 60.00
Sites, in units of the cell vectors:
Cl  0.244  0.756  0.244
Cl  0.244  0.756  0.756
Na  0.750  0.750  0.750
Lu  0.000  0.000  0.000
Cl  0.756  0.244  0.756
Cl  0.756  0.244  0.244
Cl  0.244  0.244  0.756
Na  0.250  0.250  0.250
Cl  0.756  0.756  0.244
Ag  0.500  0.500  0.500

---

7.
First-principles (PBE) data for crystalline AlInAg2 at its relaxed geometry, as listed in the Alexandria database.

## Properties
E_tot: -11.95 eV/cell
Formation energy: 22 kJ/mol of formula units

Lattice parameters (Å, degrees): 4.273 4.271 4.182 90.00 90.00 90.00
Sites, in units of the cell vectors:
Al  0.500  0.000  0.500
Ag  0.000  0.000  0.000
Ag  0.500  0.500  0.000
In  0.000  0.500  0.500

---

8.
First-principles (PBE) data for crystalline LaMnNi2 at its relaxed geometry, as listed in the Alexandria database.

## Properties
E_tot: -25.65 eV/cell
Formation energy: 1 kJ/mol of formula units

Lattice parameters (Å, degrees): 3.168 3.197 7.375 64.14 90.00 90.00
Sites, in units of the cell vectors:
Mn  0.500  0.750  0.750
Ni  0.000  0.440  0.560
La  0.500  0.250  0.250
Ni  0.000  0.060  0.940

---

9.
First-principles (PBE) data for crystalline SiPPd5 at its relaxed geometry, as listed in the Alexandria database.

## Properties
E_tot: -77.12 eV/cell
Formation energy from raw total energies: -252 meV per atom

Lattice parameters (Å, degrees): 6.125 6.125 8.128 67.71 67.71 72.63
Sites, in units of the cell vectors:
Pd  0.268  0.631  0.483
Pd  0.211  0.307  0.301
P  0.000  0.000  0.000
Pd  0.125  0.875  0.750
Pd  0.693  0.789  0.199
Pd  0.789  0.693  0.699
Pd  0.875  0.125  0.250
P  0.000  0.000  0.500
Pd  0.369  0.732  0.017
Pd  0.732  0.369  0.517
Si  0.556  0.444  0.250
Si  0.444  0.556  0.750
Pd  0.631  0.268  0.983
Pd  0.307  0.211  0.801

---

10.
First-principles (PBE) data for crystalline Co2HgGe2 at its relaxed geometry, as listed in the Alexandria database.

## Properties
Offset from the most stable computed form: 59 meV/atom
E_tot: -23.03 eV/cell
Formation energy: 69 kJ/mol of formula units

Lattice parameters (Å, degrees): 4.073 4.073 5.626 68.78 68.78 90.00
Sites, in units of the cell vectors:
Ge  0.371  0.371  0.257
Ge  0.629  0.629  0.743
Hg  0.000  0.000  0.000
Co  0.750  0.250  0.500
Co  0.250  0.750  0.500

---

11.
First-principles (PBE) data for crystalline NpTl3Ni2S6 at its relaxed geometry, as listed in the Alexandria database.

## Properties
E_tot: -62.46 eV/cell
Formation energy from raw total energies: -508 meV per atom

Lattice parameters (Å, degrees): 6.089 6.089 8.255 97.11 97.11 119.99
Sites, in units of the cell vectors:
S  0.057  0.427  0.171
S  0.312  0.312  0.830
S  0.688  0.688  0.170
Ni  0.667  0.333  0.000
Np  0.000  0.000  0.000
Tl  0.500  0.500  0.500
S  0.573  0.943  0.829
Ni  0.333  0.667  0.000
S  0.427  0.057  0.171
S  0.943  0.573  0.829
Tl  0.835  0.165  0.500
Tl  0.165  0.835  0.500

---

12.
First-principles (PBE) data for crystalline BeAg3S at its relaxed geometry, as listed in the Alexandria database.

## Properties
Offset from the most stable computed form: 0 meV/atom
E_tot: -13.68 eV/cell
Formation energy from raw total energies: 545 meV per atom

Lattice parameters (Å, degrees): 4.486 4.486 4.486 90.00 90.00 90.00
Sites, in units of the cell vectors:
Ag  0.500  0.000  0.000
Ag  0.000  0.500  0.000
Be  0.000  0.000  0.000
S  0.500  0.500  0.500
Ag  0.000  0.000  0.500

---

13.
First-principles (PBE) data for crystalline SnHgS at its relaxed geometry, as listed in the Alexandria database.

## Properties
Offset from the most stable computed form: 108 meV/atom
E_tot: -8.86 eV/cell
Formation energy from raw total energies: -141 meV per atom

Lattice parameters (Å, degrees): 3.548 3.548 7.129 104.41 104.41 90.00
Sites, in units of the cell vectors:
Sn  0.707  0.707  0.414
Hg  0.998  0.998  0.995
S  0.296  0.296  0.591

---

14.
First-principles (PBE) data for crystalline CuRe2P at its relaxed geometry, as listed in the Alexandria database.

## Properties
E_tot: -33.56 eV/cell
Formation energy: 81 kJ/mol of formula units

Lattice parameters (Å, degrees): 4.650 4.650 4.310 73.68 73.68 36.94
Sites, in units of the cell vectors:
Re  0.244  0.244  0.311
Re  0.010  0.010  0.955
P  0.753  0.753  0.765
Cu  0.493  0.493  0.469

---

15.
First-principles (PBE) data for crystalline Ta2TlP at its relaxed geometry, as listed in the Alexandria database.

## Properties
Offset from the most stable computed form: 508 meV/atom
E_tot: -29.71 eV/cell
Formation energy: 171 kJ/mol of formula units

Lattice parameters (Å, degrees): 4.643 4.643 4.643 60.00 60.00 60.00
Sites, in units of the cell vectors:
Ta  0.750  0.750  0.750
P  0.000  0.000  0.000
Tl  0.500  0.500  0.500
Ta  0.250  0.250  0.250

---

16.
First-principles (PBE) data for crystalline Sr3Hg3Pb2 at its relaxed geometry, as listed in the Alexandria database.

## Properties
E_tot: -34.36 eV/cell
Formation energy: -368 kJ/mol of formula units

Lattice parameters (Å, degrees): 4.933 6.612 17.050 90.00 90.00 111.90
Sites, in units of the cell vectors:
Sr  0.357  0.714  0.750
Sr  0.082  0.163  0.605
Hg  0.613  0.226  0.466
Sr  0.918  0.837  0.395
Sr  0.918  0.837  0.105
Pb  0.211  0.421  0.107
Hg  0.387  0.774  0.966
Hg  0.627  0.254  0.750
Sr  0.082  0.163  0.895
Hg  0.613  0.226  0.034
Hg  0.373  0.746  0.250
Pb  0.211  0.421  0.393
Hg  0.387  0.774  0.534
Pb  0.789  0.579  0.893
Pb  0.789  0.579  0.607
Sr  0.643  0.286  0.250

---

17.
First-principles (PBE) data for crystalline ZnRuBr2 at its relaxed geometry, as listed in the Alexandria database.

## Properties
Offset from the most stable computed form: 942 meV/atom
E_tot: -10.31 eV/cell
Formation energy from raw total energies: 895 meV per atom

Lattice parameters (Å, degrees): 4.899 4.899 4.899 60.00 60.00 60.00
Sites, in units of the cell vectors:
Zn  0.250  0.250  0.250
Br  0.750  0.750  0.750
Br  0.000  0.000  0.000
Ru  0.500  0.500  0.500

---

18.
First-principles (PBE) data for crystalline Ta2Nb3 at its relaxed geometry, as listed in the Alexandria database.

## Properties
E_tot: -106.56 eV/cell
Formation energy: 61 kJ/mol of formula units

Lattice parameters (Å, degrees): 7.499 7.499 5.629 99.74 99.74 138.25
Sites, in units of the cell vectors:
Ta  0.750  0.050  0.500
Nb  0.900  0.900  0.000
Ta  0.300  0.500  0.000
Nb  0.150  0.650  0.500
Ta  0.550  0.250  0.500
Nb  0.099  0.700  0.000
Ta  0.500  0.300  0.000
Nb  0.349  0.451  0.500
Nb  0.701  0.099  0.000
Nb  0.950  0.849  0.500

---

19.
First-principles (PBE) data for crystalline SrMg2Ir2 at its relaxed geometry, as listed in the Alexandria database.

## Properties
Offset from the most stable computed form: 0 meV/atom
E_tot: -23.89 eV/cell
Formation energy: -125 kJ/mol of formula units

Lattice parameters (Å, degrees): 4.429 4.429 6.340 69.56 69.56 90.00
Sites, in units of the cell vectors:
Ir  0.389  0.389  0.222
Mg  0.750  0.250  0.500
Ir  0.611  0.611  0.778
Mg  0.250  0.750  0.500
Sr  0.000  0.000  0.000

---

20.
First-principles (PBE) data for crystalline Ti2GaRh2 at its relaxed geometry, as listed in the Alexandria database.

## Properties
E_tot: -73.42 eV/cell
Formation energy: -308 kJ/mol of formula units

Lattice parameters (Å, degrees): 7.277 7.277 2.969 90.00 90.00 90.00
Sites, in units of the cell vectors:
Ga  0.500  0.500  0.000
Ti  0.167  0.667  0.500
Rh  0.867  0.633  0.000
Ga  0.000  0.000  0.000
Ti  0.667  0.833  0.500
Ti  0.833  0.333  0.500
Rh  0.633  0.133  0.000
Ti  0.333  0.167  0.500
Rh  0.133  0.367  0.000
Rh  0.367  0.867  0.000

---

21.
First-principles (PBE) data for crystalline Ac2Zn4CuRh3 at its relaxed geometry, as listed in the Alexandria database.

## Properties
E_tot: -44.02 eV/cell
Formation energy: -439 kJ/mol of formula units

Lattice parameters (Å, degrees): 4.263 4.263 10.872 90.00 90.00 90.00
Sites, in units of the cell vectors:
Rh  0.000  0.000  0.500
Ac  0.500  0.000  0.249
Rh  0.500  0.000  0.862
Ac  0.000  0.500  0.751
Zn  0.000  0.000  0.000
Zn  0.500  0.000  0.625
Zn  0.500  0.500  0.000
Zn  0.000  0.500  0.375
Cu  0.500  0.500  0.500
Rh  0.000  0.500  0.138

---

22.
First-principles (PBE) data for crystalline B5C7 at its relaxed geometry, as listed in the Alexandria database.

## Properties
Offset from the most stable computed form: 157 meV/atom
E_tot: -92.97 eV/cell
Formation energy: 481 kJ/mol of formula units

Lattice parameters (Å, degrees): 2.621 2.621 13.243 90.00 90.00 120.00
Sites, in units of the cell vectors:
C  0.333  0.667  0.052
C  0.667  0.333  0.325
B  0.000  0.000  0.362
C  0.667  0.333  0.839
C  0.333  0.667  0.168
B  0.333  0.667  0.514
C  0.667  0.333  0.208
B  0.333  0.667  0.650
C  0.000  0.000  0.013
C  0.000  0.000  0.505
B  0.000  0.000  0.891
B  0.667  0.333  0.724

---

23.
First-principles (PBE) data for crystalline Sb2IrRu at its relaxed geometry, as listed in the Alexandria database.

## Properties
Offset from the most stable computed form: 279 meV/atom
E_tot: -25.15 eV/cell
Formation energy from raw total energies: 307 meV per atom

Lattice parameters (Å, degrees): 5.591 5.591 5.591 139.41 139.41 58.76
Sites, in units of the cell vectors:
Sb  0.000  0.000  0.000
Sb  0.250  0.750  0.500
Ru  0.750  0.250  0.500
Ir  0.500  0.500  0.000

---

24.
First-principles (PBE) data for crystalline VGaSi2 at its relaxed geometry, as listed in the Alexandria database.

## Properties
Offset from the most stable computed form: 12 meV/atom
E_tot: -21.60 eV/cell
Formation energy from raw total energies: 348 meV per atom

Lattice parameters (Å, degrees): 4.410 4.410 4.410 60.00 60.00 60.00
Sites, in units of the cell vectors:
Si  0.250  0.250  0.250
V  0.000  0.000  0.000
Si  0.750  0.750  0.750
Ga  0.500  0.500  0.500